# 1
Cr2PbW | PBE | relaxed

Lattice parameters (Å, degrees): 3.779 3.068 6.581 62.24 90.00 90.00
Fractional positions:
Pb (0.500, 0.250, 0.250)
Cr (0.000, 0.430, 0.571)
Cr (0.000, 0.070, 0.929)
W (0.500, 0.750, 0.750)

Calculated values
Fermi-level density of states: 3.1 states/eV/cell
VASP energy: -8.399 eV per atom
formation energy: 2.31 eV per formula unit

***

# 2
CeNdSn | PBE | relaxed

Lattice parameters (Å, degrees): 3.342 5.306 5.306 120.00 90.00 90.00
Each line ends with the local moment (μB).
Fractional positions:
Nd (0.167, 0.000, 0.000)  0.01
Sn (0.666, 0.667, 0.333)  -0.01
Ce (0.167, 0.333, 0.667)  0.36

Calculated values
Fermi-level density of states: 5.7 states/eV/cell
VASP energy: -5.141 eV per atom
formation energy: -0.72 eV per formula unit

***

# 3
TiOsPb | PBE | relaxed

Lattice parameters (Å, degrees): 4.296 3.124 19.526 90.00 102.69 90.00
Fractional positions:
Os (0.050, 0.000, 0.789)
Os (0.661, 0.000, 0.898)
Os (0.050, 0.500, 0.289)
Os (0.661, 0.500, 0.398)
Ti (0.161, 0.000, 0.399)
Ti (0.161, 0.500, 0.899)
Ti (0.548, 0.000, 0.286)
Ti (0.548, 0.500, 0.786)
Pb (0.416, 0.500, 0.155)
Pb (0.787, 0.500, 0.027)
Pb (0.787, 0.000, 0.527)
Pb (0.416, 0.000, 0.655)

Calculated values
Fermi-level density of states: 6.2 states/eV/cell
VASP energy: -7.657 eV per atom
formation energy: -0.14 eV per formula unit

***

# 4
La2SmCd2 | PBE | relaxed

Lattice parameters (Å, degrees): 3.840 5.521 14.612 90.00 97.55 90.00
Fractional positions:
Cd (0.441, 0.750, 0.884)
Cd (0.559, 0.250, 0.116)
Cd (0.362, 0.250, 0.724)
Cd (0.638, 0.750, 0.276)
La (0.042, 0.750, 0.084)
La (0.958, 0.250, 0.916)
La (0.233, 0.750, 0.468)
La (0.767, 0.250, 0.532)
Sm (0.850, 0.750, 0.702)
Sm (0.150, 0.250, 0.298)

Calculated values
Fermi-level density of states: 12.2 states/eV/cell
VASP energy: -3.529 eV per atom
formation energy: -1.24 eV per formula unit

***

# 5
Mg2Ag5Sn | PBE | relaxed

Lattice parameters (Å, degrees): 5.918 5.918 5.917 117.50 117.50 94.39
Fractional positions:
Ag (0.778, 0.278, 0.000)
Ag (0.278, 0.278, 0.000)
Ag (0.278, 0.778, 0.000)
Ag (0.778, 0.778, 0.500)
Ag (0.278, 0.278, 0.500)
Mg (0.278, 0.778, 0.500)
Mg (0.778, 0.278, 0.500)
Sn (0.778, 0.778, 0.000)

Calculated values
Fermi-level density of states: 3.9 states/eV/cell
VASP energy: -2.782 eV per atom
formation energy: -0.81 eV per formula unit

***

# 6
ReMo2Se | PBE | relaxed

Lattice parameters (Å, degrees): 8.752 8.752 8.752 19.37 19.37 19.37
Fractional positions:
Se (0.746, 0.746, 0.746)
Mo (0.004, 0.004, 0.004)
Mo (0.248, 0.248, 0.248)
Re (0.503, 0.503, 0.503)

Calculated values
Fermi-level density of states: 3.5 states/eV/cell
VASP energy: -9.072 eV per atom
formation energy without anion corrections: 1.308 eV/f.u.

***

# 7
Sc2TcN | PBE | relaxed

Lattice parameters (Å, degrees): 6.152 6.152 5.746 57.64 57.64 90.00
Each line ends with the local moment (μB).
Fractional positions:
N (0.250, 0.750, 0.500)  0.06
N (0.500, 0.500, 0.000)  0.07
Sc (0.375, 0.461, 0.750)  0.03
Sc (0.211, 0.625, 0.250)  0.03
Sc (0.539, 0.125, 0.250)  0.03
Sc (0.875, 0.789, 0.750)  0.03
Tc (0.750, 0.250, 0.500)  1.55
Tc (0.000, 0.000, 0.000)  1.54

Calculated values
Fermi-level density of states: 4.1 states/eV/cell
VASP energy: -8.030 eV per atom
formation energy without anion corrections: -0.767 eV/f.u.

***

# 8
CuTePO2 | PBE | relaxed

Lattice parameters (Å, degrees): 3.875 3.875 5.395 90.00 90.00 90.00
Fractional positions:
Te (0.000, 0.000, 0.000)
O (0.000, 0.500, 0.000)
O (0.500, 0.000, 0.000)
Cu (0.500, 0.500, 0.500)
P (0.000, 0.000, 0.500)

Calculated values
Fermi-level density of states: 2.6 states/eV/cell
VASP energy: -4.489 eV per atom
formation energy without anion corrections: 0.121 eV/f.u.

***

# 9
CrW | PBE | relaxed

Lattice parameters (Å, degrees): 4.273 5.039 3.047 72.40 90.00 115.10
Fractional positions:
Cr (0.919, 0.004, 0.998)
Cr (0.165, 0.496, 0.252)
W (0.670, 0.507, 0.746)
W (0.413, 0.993, 0.504)

Calculated values
Fermi-level density of states: 2.6 states/eV/cell
VASP energy: -11.225 eV per atom
formation energy: 0.13 eV per formula unit

***

# 10
Ba2NbSiGe | PBE | relaxed

Lattice parameters (Å, degrees): 6.020 5.004 6.020 90.00 90.00 90.00
Each line ends with the local moment (μB).
Fractional positions:
Si (0.500, 0.500, 0.500)  0.36
Ge (0.000, 0.500, 0.000)  -0.05
Nb (0.000, 0.000, 0.000)  0.76
Ba (0.000, 0.000, 0.500)  0.10
Ba (0.500, 0.000, 0.000)  0.08

Calculated values
Fermi-level density of states: 4.9 states/eV/cell
VASP energy: -4.052 eV per atom
formation energy without anion corrections: 3.694 eV/f.u.

***

# 11
PCl2 | PBE | relaxed

Lattice parameters (Å, degrees): 4.307 4.307 8.103 90.00 90.00 120.00
Each line ends with the local moment (μB).
Fractional positions:
Cl (0.000, 0.000, 0.000)  0.08
Cl (0.000, 0.000, 0.500)  0.08
Cl (0.667, 0.333, 0.750)  0.02
Cl (0.333, 0.667, 0.250)  0.02
P (0.333, 0.667, 0.750)  0.39
P (0.667, 0.333, 0.250)  0.39

Calculated values
Fermi-level density of states: 2.3 states/eV/cell
VASP energy: -2.522 eV per atom
formation energy without anion corrections: 1.536 eV/f.u.

***

# 12
AgSnSeN2 | PBE | relaxed

Lattice parameters (Å, degrees): 4.138 4.138 5.706 90.00 90.00 90.00
Each line ends with the local moment (μB).
Fractional positions:
Ag (0.500, 0.500, 0.500)  0.05
N (0.500, 0.000, 0.000)  0.89
N (0.000, 0.500, 0.000)  0.89
Sn (0.000, 0.000, 0.000)  -0.08
Se (0.000, 0.000, 0.500)  0.19

Calculated values
Fermi-level density of states: 2.2 states/eV/cell
VASP energy: -4.178 eV per atom
formation energy without anion corrections: 6.101 eV/f.u.

***

# 13
TaInCu2 | PBE | relaxed

Lattice parameters (Å, degrees): 5.413 5.318 2.736 79.08 82.33 118.33
Fractional positions:
Cu (0.500, 0.000, 0.500)
Cu (0.000, 0.000, 0.000)
In (0.000, 0.500, 0.500)
Ta (0.500, 0.500, 0.000)

Calculated values
Fermi-level density of states: 3.1 states/eV/cell
VASP energy: -5.381 eV per atom
formation energy: 1.26 eV per formula unit

***

# 14
BaIn | PBE | relaxed

Lattice parameters (Å, degrees): 6.992 6.992 6.992 144.19 129.90 63.10
Fractional positions:
Ba (0.653, 0.403, 0.750)
Ba (0.347, 0.597, 0.250)
In (0.087, 0.837, 0.750)
In (0.913, 0.163, 0.250)

Calculated values
Fermi-level density of states: 3.0 states/eV/cell
VASP energy: -2.709 eV per atom
formation energy: -0.76 eV per formula unit

***

# 15
Li3VCl | PBE | relaxed

Lattice parameters (Å, degrees): 5.199 5.199 5.199 90.00 90.00 90.00
Each line ends with the local moment (μB).
Fractional positions:
Li (0.500, 0.000, 0.000)  0.08
Li (0.000, 0.000, 0.500)  0.08
Li (0.000, 0.500, 0.000)  0.08
Cl (0.500, 0.500, 0.500)  0.03
V (0.000, 0.000, 0.000)  3.37

Calculated values
Fermi-level density of states: 5.3 states/eV/cell
VASP energy: -2.736 eV per atom
formation energy without anion corrections: 3.024 eV/f.u.

***

# 16
LaSiBi3 | PBE | relaxed

Lattice parameters (Å, degrees): 5.461 5.461 5.461 90.00 90.00 90.00
Fractional positions:
La (0.500, 0.500, 0.500)
Bi (0.500, 0.000, 0.000)
Bi (0.000, 0.000, 0.500)
Bi (0.000, 0.500, 0.000)
Si (0.000, 0.000, 0.000)

Calculated values
Fermi-level density of states: 4.4 states/eV/cell
VASP energy: -4.300 eV per atom
formation energy without anion corrections: 0.493 eV/f.u.

***

# 17
Tb6Pr5Sc2 | PBE | relaxed

Lattice parameters (Å, degrees): 3.625 11.416 20.629 90.00 90.00 90.00
Fractional positions:
Pr (0.500, 0.061, 0.923)
Pr (0.500, 0.149, 0.223)
Pr (0.500, 0.351, 0.723)
Pr (0.500, 0.000, 0.500)
Pr (0.500, 0.939, 0.077)
Pr (0.500, 0.561, 0.577)
Pr (0.500, 0.439, 0.423)
Pr (0.500, 0.851, 0.777)
Pr (0.500, 0.500, 0.000)
Pr (0.500, 0.649, 0.277)
Tb (0.500, 0.920, 0.345)
Tb (0.500, 0.580, 0.845)
Tb (0.000, 0.277, 0.555)
Tb (0.000, 0.168, 0.383)
Tb (0.000, 0.223, 0.055)
Tb (0.500, 0.420, 0.155)
Tb (0.000, 0.832, 0.617)
Tb (0.000, 0.332, 0.883)
Tb (0.000, 0.723, 0.445)
Tb (0.000, 0.777, 0.945)
Tb (0.500, 0.080, 0.655)
Tb (0.000, 0.668, 0.117)
Sc (0.000, 0.389, 0.286)
Sc (0.000, 0.889, 0.214)
Sc (0.000, 0.611, 0.714)
Sc (0.000, 0.111, 0.786)

Calculated values
Fermi-level density of states: 39.7 states/eV/cell
VASP energy: -4.889 eV per atom
formation energy: 0.78 eV per formula unit

***

# 18
TaIF2 | PBE | relaxed

Lattice parameters (Å, degrees): 4.494 4.494 4.494 60.00 60.00 60.00
Each line ends with the local moment (μB).
Fractional positions:
Ta (0.500, 0.500, 0.500)  1.46
F (0.250, 0.250, 0.250)  -0.01
F (0.750, 0.750, 0.750)  -0.01
I (0.000, 0.000, 0.000)  -0.05

Calculated values
Fermi-level density of states: 3.5 states/eV/cell
VASP energy: -4.630 eV per atom
formation energy without anion corrections: -1.373 eV/f.u.

***

# 19
MgCd5Hg2 | PBE | relaxed

Lattice parameters (Å, degrees): 3.052 11.348 11.473 90.00 90.00 97.73
Fractional positions:
Cd (0.690, 0.380, 0.991)
Cd (0.832, 0.663, 0.250)
Cd (0.690, 0.380, 0.509)
Cd (0.310, 0.620, 0.009)
Cd (0.090, 0.179, 0.376)
Cd (0.090, 0.179, 0.124)
Cd (0.168, 0.337, 0.750)
Cd (0.910, 0.821, 0.876)
Cd (0.910, 0.821, 0.624)
Cd (0.310, 0.620, 0.491)
Mg (0.788, 0.576, 0.750)
Mg (0.212, 0.424, 0.250)
Hg (0.955, 0.909, 0.381)
Hg (0.045, 0.091, 0.619)
Hg (0.045, 0.091, 0.881)
Hg (0.955, 0.909, 0.119)

Calculated values
Fermi-level density of states: 4.8 states/eV/cell
VASP energy: -0.815 eV per atom
formation energy: 0.26 eV per formula unit

***

# 20
Cs2NdAs2S6 | PBE | relaxed

Lattice parameters (Å, degrees): 7.300 7.293 8.754 114.96 90.00 120.03
Fractional positions:
Cs (0.290, 0.580, 0.808)
Cs (0.710, 0.420, 0.192)
S (0.251, 0.501, 0.377)
S (0.749, 0.499, 0.623)
S (0.789, 0.075, 0.773)
S (0.211, 0.925, 0.227)
S (0.286, 0.075, 0.773)
S (0.714, 0.925, 0.227)
As (0.051, 0.101, 0.190)
As (0.949, 0.899, 0.810)
Nd (0.500, 0.000, 0.500)

Calculated values
Fermi-level density of states: 3.6 states/eV/cell
VASP energy: -4.527 eV per atom
formation energy without anion corrections: -9.256 eV/f.u.

***

# 21
La12Pm7Cd | PBE | relaxed

Lattice parameters (Å, degrees): 10.181 10.181 10.181 109.47 109.47 109.47
Fractional positions:
La (0.998, 0.757, 0.242)
La (0.757, 0.758, 0.515)
La (0.002, 0.243, 0.758)
La (0.242, 0.485, 0.243)
La (0.758, 0.515, 0.757)
La (0.758, 0.002, 0.243)
La (0.243, 0.242, 0.485)
La (0.515, 0.757, 0.758)
La (0.757, 0.242, 0.998)
La (0.485, 0.243, 0.242)
La (0.243, 0.758, 0.002)
La (0.242, 0.998, 0.757)
Pm (0.000, 0.000, 0.500)
Pm (0.000, 0.500, 0.500)
Pm (0.500, 0.500, 0.500)
Pm (0.500, 0.000, 0.000)
Pm (0.000, 0.500, 0.000)
Pm (0.500, 0.000, 0.500)
Pm (0.500, 0.500, 0.000)
Cd (0.000, 0.000, 0.000)

Calculated values
Fermi-level density of states: 30.9 states/eV/cell
VASP energy: -4.135 eV per atom
formation energy: 10.60 eV per formula unit